NdErMo2O8 PBE with a Hubbard U optimized geometry; mass density = 6.65 Mg/m³; E = -92.39 eV/cell; space group = I-4 (82)
1.0
-2.649 2.649 5.613
2.649 -2.649 5.613
2.649 2.649 -5.613
Nd Er Mo O
1 1 2 8
direct
0.000 0.000 0.000
0.250 0.750 0.500
0.500 0.500 0.000
0.750 0.250 0.500
0.028 0.076 0.426
0.242 0.645 0.063
0.355 0.418 0.597
0.398 0.972 0.048
0.582 0.179 0.937
0.649 0.602 0.574
0.821 0.758 0.403
0.924 0.351 0.952